A plane-wave DFT calculation with PBE was carried out for an optimized crystal structure of RuRhPb2.

Cell lengths 8.3524, 3.3842, 5.7960 Å; angles 90.00, 103.70, 90.00 degrees
Atoms (fractional coordinates):
Ru  0.0000  0.0000  0.0000
Ru  0.5000  0.5000  0.0000
Rh  0.0000  0.5000  0.5000
Rh  0.5000  0.0000  0.5000
Pb  0.2502  0.0000  0.7513
Pb  0.2498  0.5000  0.2487
Pb  0.7498  0.0000  0.2487
Pb  0.7502  0.5000  0.7513

Summary:
E above lowest polymorph in meV per atom: 95.0
Fermi-level density of states in states/eV per cell: 6.86